1.
MnSn3Te | the Alexandria database | PBE | relaxed; crystal system = cubic; density = 4.7 g/cm³; excess energy over the best structure of this formula in the dataset = 938 meV per atom; SG = Pm-3m, No. 221
1.0
5.738 0.000 0.000
0.000 5.738 0.000
0.000 0.000 5.738
Sn Te Mn
3 1 1
Cartesian
0.000 2.869 0.000 Sn
0.000 0.000 2.869 Sn
2.869 0.000 0.000 Sn
0.000 0.000 0.000 Te
2.869 2.869 2.869 Mn



2.
Sr2HfGa | the Alexandria database | PBE | relaxed; crystal system = tetragonal; density = 5.5 g/cm³; energy of formation = 2.30 eV/f.u.; SG = I-42d, No. 122
1.0
9.037 0.000 0.000
0.000 9.037 0.000
4.518 4.518 3.113
Sr Ga Hf
4 2 2
Cartesian
6.778 7.170 2.335 Sr
6.386 2.259 0.778 Sr
11.296 10.904 2.335 Sr
2.651 6.778 0.778 Sr
4.518 4.518 0.000 Ga
4.518 9.037 1.556 Ga
0.000 0.000 0.000 Hf
9.037 4.518 1.556 Hf



> density of number 2 (Sr2HfGa)?

5.5 g/cm³



Copy entry 2 word for word.
Sr2HfGa | the Alexandria database | PBE | relaxed; crystal system = tetragonal; density = 5.5 g/cm³; energy of formation = 2.30 eV/f.u.; SG = I-42d, No. 122
1.0
9.037 0.000 0.000
0.000 9.037 0.000
4.518 4.518 3.113
Sr Ga Hf
4 2 2
Cartesian
6.778 7.170 2.335 Sr
6.386 2.259 0.778 Sr
11.296 10.904 2.335 Sr
2.651 6.778 0.778 Sr
4.518 4.518 0.000 Ga
4.518 9.037 1.556 Ga
0.000 0.000 0.000 Hf
9.037 4.518 1.556 Hf



Repeat the first record exactly.
MnSn3Te | the Alexandria database | PBE | relaxed; crystal system = cubic; density = 4.7 g/cm³; excess energy over the best structure of this formula in the dataset = 938 meV per atom; SG = Pm-3m, No. 221
1.0
5.738 0.000 0.000
0.000 5.738 0.000
0.000 0.000 5.738
Sn Te Mn
3 1 1
Cartesian
0.000 2.869 0.000 Sn
0.000 0.000 2.869 Sn
2.869 0.000 0.000 Sn
0.000 0.000 0.000 Te
2.869 2.869 2.869 Mn



> The highest density belongs to which entry?

Sr2HfGa